Record 1
MoOs2W (GGA-PBEsol, relaxed); ΔE_f = 0.067 eV/atom; SG = I4/mmm (139)
1.0
-1.9527 1.9527 3.8595
1.9527 -1.9527 3.8595
1.9527 1.9527 -3.8595
Mo Os W
1 2 1
Cartesian
0.0000 0.0000 0.0000 Mo
1.9527 0.0000 1.9298 Os
0.0000 1.9527 1.9298 Os
0.0000 0.0000 3.8595 W

***

Record 2
LiCoF3 (GGA-PBEsol, relaxed); E_form (uncorrected) = -1918 meV per atom; SG = Pm-3m (221)
1.0
3.9394 0.0000 0.0000
0.0000 3.9394 0.0000
0.0000 0.0000 3.9394
Li Co F
1 1 3
Cartesian
0.0000 0.0000 0.0000 Li
1.9697 1.9697 1.9697 Co
0.0000 1.9697 1.9697 F
1.9697 0.0000 1.9697 F
1.9697 1.9697 0.0000 F

***

Record 3
AlAsIr2 (GGA-PBEsol, relaxed); distance to the lowest polymorph of the same formula = 0.151 eV/atom; ΔE_f = -0.030 eV/atom; SG = R3m (160)
1.0
1.4578 0.8417 8.0739
-1.4578 0.8417 8.0739
0.0000 -1.6834 8.0739
Al As Ir
1 1 2
Cartesian
0.0000 0.0000 0.0000 Al
0.0000 0.0000 18.2933 As
0.0000 0.0000 6.2504 Ir
0.0000 0.0000 12.0538 Ir

***

Record 4
MgCCl2 (GGA-PBEsol, relaxed); E_form (uncorrected) = 1030 meV per atom; SG = R-3m (166)
1.0
1.6453 0.9499 7.9983
-1.6453 0.9499 7.9983
0.0000 -1.8998 7.9983
Mg C Cl
1 1 2
Cartesian
0.0000 0.0000 0.0000 Mg
0.0000 0.0000 11.9975 C
0.0000 0.0000 2.6590 Cl
0.0000 0.0000 21.3360 Cl

***

Record 5
Bi4PPd15 (GGA-PBEsol, relaxed); ΔE_f = -0.219 eV/atom; SG = R-3m (166)
1.0
2.2643 1.3073 18.4469
-2.2643 1.3073 18.4469
0.0000 -2.6146 18.4469
Bi P Pd
4 1 15
Cartesian
0.0000 0.0000 5.6371 Bi
0.0000 0.0000 16.6238 Bi
0.0000 0.0000 38.7170 Bi
0.0000 0.0000 49.7037 Bi
0.0000 0.0000 27.6704 P
0.0000 0.0000 0.0000 Pd
0.0000 0.0000 2.8212 Pd
0.0000 0.0000 8.5171 Pd
0.0000 0.0000 11.1298 Pd
0.0000 0.0000 13.8631 Pd
0.0000 0.0000 19.4747 Pd
0.0000 0.0000 22.3337 Pd
0.0000 0.0000 25.3600 Pd
0.0000 0.0000 29.9807 Pd
0.0000 0.0000 33.0070 Pd
0.0000 0.0000 35.8661 Pd
0.0000 0.0000 41.4777 Pd
0.0000 0.0000 44.2109 Pd
0.0000 0.0000 46.8236 Pd
0.0000 0.0000 52.5196 Pd

***

Record 6
LaOsSe2 (GGA-PBEsol, relaxed); distance to the lowest polymorph of the same formula = 0.000 eV/atom; E_form (uncorrected) = -730 meV per atom; SG = Immm (71)
1.0
-1.9792 2.7965 3.7568
1.9792 -2.7965 3.7568
1.9792 2.7965 -3.7568
La Os Se
1 1 2
Cartesian
0.0000 0.0000 0.0000 La
0.0000 0.0000 3.7568 Os
1.9792 0.0000 2.2896 Se
0.0000 2.7965 1.4672 Se

***

Record 7
TlCrIr (GGA-PBEsol, relaxed); distance to the lowest polymorph of the same formula = 0.110 eV/atom; ΔE_f = 0.716 eV/atom; SG = F-43m (216)
1.0
0.0000 2.9956 2.9956
2.9956 0.0000 2.9956
2.9956 2.9956 0.0000
Tl Cr Ir
1 1 1
Cartesian
0.0000 0.0000 0.0000 Tl
4.4933 4.4933 4.4933 Cr
2.9956 2.9956 2.9956 Ir

***

Record 8
YSb2Ir (GGA-PBEsol, relaxed); E_form (uncorrected) = -197 meV per atom; SG = Fm-3m (225)
1.0
0.0000 3.4792 3.4792
3.4792 0.0000 3.4792
3.4792 3.4792 0.0000
Y Sb Ir
1 2 1
Cartesian
0.0000 0.0000 0.0000 Y
1.7396 1.7396 1.7396 Sb
5.2188 5.2188 5.2188 Sb
3.4792 3.4792 3.4792 Ir

***

Record 9
Nb3Te4 (GGA-PBEsol, relaxed); E_form (uncorrected) = -494 meV per atom; SG = P6_3/m (176)
1.0
10.6641 0.0000 0.0000
-5.3321 9.2354 0.0000
0.0000 0.0000 3.5956
Nb Te
6 8
Cartesian
-2.1752 5.6746 0.8989 Nb
1.5053 4.5143 0.8989 Nb
4.6622 0.9535 2.6967 Nb
0.6699 8.2819 0.8989 Nb
3.8267 4.7211 2.6967 Nb
7.5073 3.5608 2.6967 Nb
-1.0845 3.1198 0.8989 Te
-2.0880 8.6147 0.8989 Te
0.0000 6.1569 2.6967 Te
2.1596 2.4991 2.6967 Te
3.1725 6.7363 0.8989 Te
5.3321 3.0785 0.8989 Te
7.4201 0.6207 2.6967 Te
6.4165 6.1156 2.6967 Te

***

Record 10
Zn3In (GGA-PBEsol, relaxed); ΔE_f = 0.095 eV/atom; SG = Pmmm (47)
1.0
2.8108 0.0000 0.0000
0.0000 3.9144 0.0000
0.0000 0.0000 6.1469
Zn In
3 1
Cartesian
0.0000 0.0000 0.0000 Zn
1.4054 1.9572 1.3089 Zn
1.4054 1.9572 4.8380 Zn
0.0000 0.0000 3.0734 In

***

Record 11
Mn2ZnCo (GGA-PBEsol, relaxed); ΔE_f = 0.072 eV/atom; SG = P4mm (99)
1.0
2.8364 0.0000 0.0000
0.0000 2.8364 0.0000
0.0000 0.0000 5.6556
Mn Zn Co
2 1 1
Cartesian
0.0000 0.0000 0.0000 Mn
1.4182 1.4182 1.3077 Mn
0.0000 0.0000 2.8816 Zn
1.4182 1.4182 4.2993 Co

***

Record 12
HoAs (GGA-PBEsol, relaxed); ΔE_f = -1.548 eV/atom; SG = Fm-3m (225)
1.0
0.0000 2.8559 2.8559
2.8559 0.0000 2.8559
2.8559 2.8559 0.0000
Ho As
1 1
Cartesian
0.0000 0.0000 0.0000 Ho
2.8559 2.8559 2.8559 As

***

Record 13
ZnAu3S (GGA-PBEsol, relaxed); distance to the lowest polymorph of the same formula = 0.000 eV/atom; E_form (uncorrected) = 569 meV per atom; SG = Pm-3m (221)
1.0
4.7330 0.0000 0.0000
0.0000 4.7330 0.0000
0.0000 0.0000 4.7330
Zn Au S
1 3 1
Cartesian
0.0000 0.0000 0.0000 Zn
0.0000 2.3665 2.3665 Au
2.3665 0.0000 2.3665 Au
2.3665 2.3665 0.0000 Au
2.3665 2.3665 2.3665 S

***

Record 14
Be2RhAu (GGA-PBEsol, relaxed); distance to the lowest polymorph of the same formula = 0.232 eV/atom; ΔE_f = -0.261 eV/atom; SG = Imm2 (44)
1.0
-1.4261 1.9137 4.2985
1.4261 -1.9137 4.2985
1.4261 1.9137 -4.2985
Be Rh Au
2 1 1
Cartesian
0.0000 0.0000 0.0000 Be
0.0000 1.9137 2.1731 Be
0.0000 0.0000 4.5142 Rh
1.4261 0.0000 2.1629 Au

***

Record 15
BaSbN2F (GGA-PBEsol, relaxed); distance to the lowest polymorph of the same formula = 1.571 eV/atom; E_form (uncorrected) = 791 meV per atom; SG = P4/mmm (123)
1.0
4.6766 0.0000 0.0000
0.0000 4.6766 0.0000
0.0000 0.0000 4.6278
Ba Sb N F
1 1 2 1
Cartesian
0.0000 0.0000 0.0000 Ba
2.3383 2.3383 2.3139 Sb
0.0000 2.3383 0.0000 N
2.3383 0.0000 0.0000 N
0.0000 0.0000 2.3139 F

***

Record 16
CoRe2Au (GGA-PBEsol, relaxed); distance to the lowest polymorph of the same formula = 0.082 eV/atom; ΔE_f = 0.451 eV/atom; SG = P4/mmm (123)
1.0
3.0814 0.0000 0.0000
0.0000 3.0814 0.0000
0.0000 0.0000 6.0323
Co Re Au
1 2 1
Cartesian
0.0000 0.0000 0.0000 Co
1.5407 1.5407 1.2103 Re
1.5407 1.5407 4.8220 Re
0.0000 0.0000 3.0161 Au

***

Record 17
Nb3SnSe (GGA-PBEsol, relaxed); E_form (uncorrected) = 464 meV per atom; SG = Pm-3m (221)
1.0
4.7173 0.0000 0.0000
0.0000 4.7173 0.0000
0.0000 0.0000 4.7173
Nb Sn Se
3 1 1
Cartesian
0.0000 0.0000 2.3587 Nb
0.0000 2.3587 0.0000 Nb
2.3587 0.0000 0.0000 Nb
2.3587 2.3587 2.3587 Sn
0.0000 0.0000 0.0000 Se

***

Record 18
Nd2TlHg (GGA-PBEsol, relaxed); ΔE_f = -0.496 eV/atom; SG = Fm-3m (225)
1.0
0.0000 3.8035 3.8035
3.8035 0.0000 3.8035
3.8035 3.8035 0.0000
Nd Tl Hg
2 1 1
Cartesian
1.9018 1.9018 1.9018 Nd
5.7053 5.7053 5.7053 Nd
0.0000 0.0000 0.0000 Tl
3.8035 3.8035 3.8035 Hg

***

Record 19
Sr2LiTl (GGA-PBEsol, relaxed); distance to the lowest polymorph of the same formula = 0.193 eV/atom; ΔE_f = -0.077 eV/atom; SG = C2/m (12)
1.0
5.3286 -2.0183 0.0000
5.3286 2.0183 0.0000
-1.4512 0.0000 6.8531
Sr Li Tl
2 1 1
Cartesian
2.2470 0.0000 1.5881 Sr
6.9590 0.0000 5.2650 Sr
-0.7256 0.0000 3.4266 Li
5.3286 0.0000 0.0000 Tl

***

Record 20
MgTe2PI (GGA-PBEsol, relaxed); E_form (uncorrected) = 193 meV per atom; SG = P4/mmm (123)
1.0
5.1936 0.0000 0.0000
0.0000 5.1936 0.0000
0.0000 0.0000 5.4196
Mg Te P I
1 2 1 1
Cartesian
0.0000 0.0000 0.0000 Mg
0.0000 2.5968 2.7098 Te
2.5968 0.0000 2.7098 Te
2.5968 2.5968 2.7098 P
2.5968 2.5968 0.0000 I

***

no.,VASP energy (eV per atom)
1,-12.43
2,-5.02
3,-7.24
4,-2.81
5,-5.84
6,-7.05
7,-6.85
8,-6.64
9,-7.15
10,-1.84
11,-7.14
12,-6.58
13,-2.98
14,-5.28
15,-4.35
16,-9.13
17,-7.65
18,-3.88
19,-2.15
20,-3.07